[1]
# USnAs

A relaxed structure of USnAs (PBE, OQMD). Values from VASP.

Computed properties:
As for the symmetry: F-43m, No. 216. For the calculated total energy, the calculation gives -19.5 eV/cell.

```
&SYSTEM
  ibrav = 0, nat = 3, ntyp = 3
/
ATOMIC_SPECIES
Sn 118.71 Sn.upf
U 238.03 U.upf
As 74.92 As.upf
ATOMIC_POSITIONS crystal
Sn 0.750 0.750 0.750
U 0.000 0.000 0.000
As 0.250 0.250 0.250
CELL_PARAMETERS angstrom
-1.575 -4.602 -0.616
-1.516 -2.610 3.863
-4.758 -1.054 0.531
```



[2]
# Zr6GaN2

A relaxed structure of Zr6GaN2 (PBE, OQMD). Values from VASP.

Computed properties:
As for the symmetry: P-62m, No. 189. For the calculated total energy, the calculation gives -73.1 eV/cell.

```
&SYSTEM
  ibrav = 0, nat = 9, ntyp = 3
/
ATOMIC_SPECIES
Zr 91.22 Zr.upf
N 14.01 N.upf
Ga 69.72 Ga.upf
ATOMIC_POSITIONS crystal
Zr 0.417 0.000 0.000
Zr 0.000 0.417 0.000
Zr 0.725 0.000 0.500
Zr 0.000 0.725 0.500
Zr 0.583 0.583 0.000
Zr 0.275 0.275 0.500
N 0.667 0.333 0.500
N 0.333 0.667 0.500
Ga 0.000 0.000 0.000
CELL_PARAMETERS angstrom
-3.243 -5.839 -1.354
3.340 3.272 -4.958
3.142 -1.940 0.837
```



[3]
# La2DyAl7Ag2

A relaxed structure of La2DyAl7Ag2 (PBE, OQMD). Values from VASP.

Computed properties:
As for the symmetry: R-3m, No. 166. For the calculated total energy, the calculation gives -51.5 eV/cell.

```
&SYSTEM
  ibrav = 0, nat = 12, ntyp = 4
/
ATOMIC_SPECIES
Al 26.98 Al.upf
Dy 162.50 Dy.upf
La 138.91 La.upf
Ag 107.87 Ag.upf
ATOMIC_POSITIONS crystal
Al 0.926 0.415 0.415
Al 0.415 0.415 0.926
Al 0.415 0.926 0.415
Al 0.585 0.074 0.585
Al 0.500 0.500 0.500
Al 0.585 0.585 0.074
Al 0.074 0.585 0.585
Dy 0.000 0.000 0.000
La 0.142 0.142 0.142
La 0.858 0.858 0.858
Ag 0.664 0.664 0.664
Ag 0.336 0.336 0.336
CELL_PARAMETERS angstrom
2.827 1.632 8.962
-2.827 1.632 8.962
0.000 -3.265 8.962
```



[4]
# ErMgAl4Ni2

A relaxed structure of ErMgAl4Ni2 (PBE, OQMD). Values from VASP.

Computed properties:
As for the symmetry: Amm2, No. 38. For the calculated total energy, the calculation gives -36.4 eV/cell.

```
&SYSTEM
  ibrav = 0, nat = 8, ntyp = 4
/
ATOMIC_SPECIES
Er 167.26 Er.upf
Ni 58.69 Ni.upf
Al 26.98 Al.upf
Mg 24.30 Mg.upf
ATOMIC_POSITIONS crystal
Er 0.500 0.562 0.562
Ni 0.000 0.711 0.711
Ni 0.500 0.282 0.282
Al 0.808 0.153 0.153
Al 0.703 0.851 0.851
Al 0.297 0.851 0.851
Al 0.192 0.153 0.153
Mg 0.000 0.437 0.437
CELL_PARAMETERS angstrom
-5.491 -1.705 -3.807
0.210 -4.831 1.861
-2.096 -2.389 4.093
```



[5]
# Rb2H6IrAu

A relaxed structure of Rb2H6IrAu (PBE, OQMD). Values from VASP.

Computed properties:
As for the symmetry: P2_1/c, No. 14. For the calculated total energy, the calculation gives -71.2 eV/cell.

```
&SYSTEM
  ibrav = 0, nat = 20, ntyp = 4
/
ATOMIC_SPECIES
H 1.01 H.upf
Au 196.97 Au.upf
Rb 85.47 Rb.upf
Ir 192.22 Ir.upf
ATOMIC_POSITIONS crystal
H 0.251 0.998 0.250
H 0.808 0.691 0.500
H 0.749 0.002 0.750
H 0.251 0.502 0.750
H 0.192 0.691 0.500
H 0.192 0.191 0.000
H 0.808 0.809 0.000
H 0.808 0.191 0.000
H 0.192 0.309 0.500
H 0.192 0.809 0.000
H 0.808 0.309 0.500
H 0.749 0.498 0.250
Au 0.500 0.000 0.500
Au 0.500 0.500 0.000
Rb 0.250 0.500 0.250
Rb 0.750 0.000 0.250
Rb 0.750 0.500 0.750
Rb 0.250 0.000 0.750
Ir 0.000 0.000 0.000
Ir 0.000 0.500 0.500
CELL_PARAMETERS angstrom
6.268 0.000 0.000
0.000 6.311 0.000
-6.263 0.000 6.964
```



[6]
# Tm3ReO6

A relaxed structure of Tm3ReO6 (PBE, OQMD). Values from VASP.

Computed properties:
The calculation puts the energy above the most stable polymorph in this dataset at 0.116 eV/atom. As for the symmetry: P-1, No. 2.

```
&SYSTEM
  ibrav = 0, nat = 10, ntyp = 3
/
ATOMIC_SPECIES
O 16.00 O.upf
Tm 168.93 Tm.upf
Re 186.21 Re.upf
ATOMIC_POSITIONS crystal
O 0.305 0.726 0.114
O 0.700 0.739 0.394
O 0.695 0.274 0.886
O 0.019 0.287 0.222
O 0.300 0.261 0.606
O 0.981 0.713 0.778
Tm 0.635 0.464 0.203
Tm 0.365 0.536 0.797
Tm 0.000 0.000 0.000
Re 0.000 0.500 0.500
CELL_PARAMETERS angstrom
5.348 0.000 0.000
0.539 5.425 0.000
2.349 1.403 4.719
```



[7]
# PrTlMo

A relaxed structure of PrTlMo (PBE, OQMD). Values from VASP.

Computed properties:
The calculation puts the energy above the most stable polymorph in this dataset at 0.000 eV/atom. As for the symmetry: F-43m, No. 216.

```
&SYSTEM
  ibrav = 0, nat = 3, ntyp = 3
/
ATOMIC_SPECIES
Pr 140.91 Pr.upf
Tl 204.38 Tl.upf
Mo 95.94 Mo.upf
ATOMIC_POSITIONS crystal
Pr 0.750 0.750 0.750
Tl 0.000 0.000 0.000
Mo 0.250 0.250 0.250
CELL_PARAMETERS angstrom
0.365 -1.619 4.639
-3.713 0.715 3.158
-2.730 -3.818 1.498
```



[8]
# LiReSnTe

A relaxed structure of LiReSnTe (PBE, OQMD). Values from VASP.

Computed properties:
The calculation puts the energy above the most stable polymorph in this dataset at 0.000 eV/atom. As for the symmetry: F-43m, No. 216.

```
&SYSTEM
  ibrav = 0, nat = 4, ntyp = 4
/
ATOMIC_SPECIES
Li 6.94 Li.upf
Sn 118.71 Sn.upf
Re 186.21 Re.upf
Te 127.60 Te.upf
ATOMIC_POSITIONS crystal
Li 0.750 0.750 0.750
Sn 0.000 0.000 0.000
Re 0.250 0.250 0.250
Te 0.500 0.500 0.500
CELL_PARAMETERS angstrom
-2.162 1.178 4.010
-4.699 0.174 0.177
-2.385 -3.249 2.429
```



[9]
# Pm12TlCo6

A relaxed structure of Pm12TlCo6 (PBE, OQMD). Values from VASP.

Computed properties:
As for the symmetry: Im-3, No. 204. For the calculated total energy, the calculation gives -104.9 eV/cell.

```
&SYSTEM
  ibrav = 0, nat = 19, ntyp = 3
/
ATOMIC_SPECIES
Pm 145.00 Pm.upf
Co 58.93 Co.upf
Tl 204.38 Tl.upf
ATOMIC_POSITIONS crystal
Pm 0.807 0.112 0.305
Pm 0.695 0.193 0.888
Pm 0.499 0.305 0.193
Pm 0.305 0.193 0.499
Pm 0.193 0.499 0.305
Pm 0.695 0.807 0.501
Pm 0.112 0.305 0.807
Pm 0.807 0.501 0.695
Pm 0.305 0.807 0.112
Pm 0.888 0.695 0.193
Pm 0.501 0.695 0.807
Pm 0.193 0.888 0.695
Co 0.389 0.889 0.500
Co 0.500 0.611 0.111
Co 0.111 0.500 0.611
Co 0.500 0.389 0.889
Co 0.889 0.500 0.389
Co 0.611 0.111 0.500
Tl 0.000 0.000 0.000
CELL_PARAMETERS angstrom
-4.961 4.961 4.961
4.961 -4.961 4.961
4.961 4.961 -4.961
```



[10]
# HfNiAu2

A relaxed structure of HfNiAu2 (PBE, OQMD). Values from VASP.

Computed properties:
As for the symmetry: F-43m, No. 216. The formation energy comes out at -0.3476 eV per atom.

```
&SYSTEM
  ibrav = 0, nat = 4, ntyp = 3
/
ATOMIC_SPECIES
Hf 178.49 Hf.upf
Au 196.97 Au.upf
Ni 58.69 Ni.upf
ATOMIC_POSITIONS crystal
Hf 0.500 0.500 0.500
Au 0.250 0.250 0.250
Au 0.000 0.000 0.000
Ni 0.750 0.750 0.750
CELL_PARAMETERS angstrom
0.000 3.224 3.224
3.224 0.000 3.224
3.224 3.224 0.000
```



[11]
# NbCuReSb

A relaxed structure of NbCuReSb (PBE, OQMD). Values from VASP.

Computed properties:
The calculation puts the energy above the most stable polymorph in this dataset at 0.000 eV/atom. As for the symmetry: F-43m, No. 216.

```
&SYSTEM
  ibrav = 0, nat = 4, ntyp = 4
/
ATOMIC_SPECIES
Cu 63.55 Cu.upf
Sb 121.76 Sb.upf
Nb 92.91 Nb.upf
Re 186.21 Re.upf
ATOMIC_POSITIONS crystal
Cu 0.750 0.750 0.750
Sb 0.000 0.000 0.000
Nb 0.500 0.500 0.500
Re 0.250 0.250 0.250
CELL_PARAMETERS angstrom
0.000 3.206 3.206
3.206 0.000 3.206
3.206 3.206 0.000
```



[12]
# NbBiN2O

A relaxed structure of NbBiN2O (PBE, OQMD). Values from VASP.

Computed properties:
As for the symmetry: Pmc2_1, No. 26. For the calculated total energy, the calculation gives -78.7 eV/cell.

```
&SYSTEM
  ibrav = 0, nat = 10, ntyp = 4
/
ATOMIC_SPECIES
O 16.00 O.upf
N 14.01 N.upf
Nb 92.91 Nb.upf
Bi 208.98 Bi.upf
ATOMIC_POSITIONS crystal
O 0.500 0.545 0.328
O 0.500 0.455 0.828
N 0.500 0.973 0.722
N 0.500 0.027 0.222
N 0.000 0.309 0.541
N 0.000 0.691 0.041
Nb 0.500 0.217 0.479
Nb 0.500 0.783 0.979
Bi 0.000 0.699 0.430
Bi 0.000 0.301 0.930
CELL_PARAMETERS angstrom
-0.990 -0.238 -3.882
0.477 -5.790 0.233
-5.758 -0.415 1.494
```



[13]
# NdSiPt

A relaxed structure of NdSiPt (PBE, OQMD). Values from VASP.

Computed properties:
As for the symmetry: I4_1md, No. 109. For the calculated total energy, the calculation gives -39.3 eV/cell.

```
&SYSTEM
  ibrav = 0, nat = 6, ntyp = 3
/
ATOMIC_SPECIES
Nd 144.24 Nd.upf
Pt 195.08 Pt.upf
Si 28.09 Si.upf
ATOMIC_POSITIONS crystal
Nd 0.249 0.749 0.500
Nd 0.499 0.499 0.000
Pt 0.086 0.086 0.000
Pt 0.836 0.336 0.500
Si 0.668 0.168 0.500
Si 0.918 0.918 0.000
CELL_PARAMETERS angstrom
-1.697 -7.643 0.166
-6.072 -4.290 2.460
2.635 6.185 -4.015
```



[14]
# ZrCuBiPd

A relaxed structure of ZrCuBiPd (PBE, OQMD). Values from VASP.

Computed properties:
As for the symmetry: F-43m, No. 216. For the calculated total energy, the calculation gives -22.1 eV/cell.

```
&SYSTEM
  ibrav = 0, nat = 4, ntyp = 4
/
ATOMIC_SPECIES
Cu 63.55 Cu.upf
Bi 208.98 Bi.upf
Pd 106.42 Pd.upf
Zr 91.22 Zr.upf
ATOMIC_POSITIONS crystal
Cu 0.750 0.750 0.750
Bi 0.000 0.000 0.000
Pd 0.500 0.500 0.500
Zr 0.250 0.250 0.250
CELL_PARAMETERS angstrom
4.553 1.490 0.105
1.132 4.090 2.226
2.463 -0.111 4.108
```



[15]
# Cs2Er2AsP

A relaxed structure of Cs2Er2AsP (PBE, OQMD). Values from VASP.

Computed properties:
As for the symmetry: P4mm, No. 99. For the calculated total energy, the calculation gives -25.4 eV/cell.

```
&SYSTEM
  ibrav = 0, nat = 6, ntyp = 4
/
ATOMIC_SPECIES
Er 167.26 Er.upf
P 30.97 P.upf
Cs 132.91 Cs.upf
As 74.92 As.upf
ATOMIC_POSITIONS crystal
Er 0.000 0.500 0.496
Er 0.500 0.000 0.496
P 0.500 0.500 0.389
Cs 0.000 0.000 0.189
Cs 0.500 0.500 0.806
As 0.000 0.000 0.624
CELL_PARAMETERS angstrom
-0.970 4.673 1.051
-4.050 -0.228 -2.725
-6.096 -3.366 9.345
```



[16]
# NiSnHgS3

A relaxed structure of NiSnHgS3 (PBE, OQMD). Values from VASP.

Computed properties:
The calculation puts the energy above the most stable polymorph in this dataset at 0.000 eV/atom. As for the symmetry: Cmcm, No. 63.

```
&SYSTEM
  ibrav = 0, nat = 12, ntyp = 4
/
ATOMIC_SPECIES
Ni 58.69 Ni.upf
Hg 200.59 Hg.upf
S 32.06 S.upf
Sn 118.71 Sn.upf
ATOMIC_POSITIONS crystal
Ni 0.000 0.000 0.000
Ni 0.000 0.000 0.500
Hg 0.695 0.695 0.750
Hg 0.305 0.305 0.250
S 0.597 0.597 0.980
S 0.403 0.403 0.020
S 0.403 0.403 0.480
S 0.597 0.597 0.520
S 0.025 0.025 0.250
S 0.975 0.975 0.750
Sn 0.353 0.353 0.750
Sn 0.647 0.647 0.250
CELL_PARAMETERS angstrom
-2.766 -6.294 3.577
-0.436 -4.967 5.933
-7.011 5.318 3.938
```



[17]
# Cu2Ag3

A relaxed structure of Cu2Ag3 (PBE, OQMD). Values from VASP.

Computed properties:
The calculation puts the energy above the most stable polymorph in this dataset at 0.046 eV/atom. As for the symmetry: P-1, No. 2. The formation energy comes out at 0.0783 eV per atom.

```
&SYSTEM
  ibrav = 0, nat = 10, ntyp = 2
/
ATOMIC_SPECIES
Ag 107.87 Ag.upf
Cu 63.55 Cu.upf
ATOMIC_POSITIONS crystal
Ag 0.785 0.987 0.782
Ag 0.239 0.599 0.442
Ag 0.730 0.808 0.334
Ag 0.215 0.013 0.218
Ag 0.761 0.401 0.558
Ag 0.270 0.192 0.666
Cu 0.288 0.781 0.859
Cu 0.712 0.219 0.141
Cu 0.247 0.425 0.045
Cu 0.753 0.575 0.955
CELL_PARAMETERS angstrom
-3.896 -3.000 0.076
3.492 -3.359 -1.072
1.171 2.105 6.775
```



[18]
# RbNbBr6

A relaxed structure of RbNbBr6 (PBE, OQMD). Values from VASP.

Computed properties:
As for the symmetry: C2/m, No. 12. For the calculated total energy, the calculation gives -29.7 eV/cell.

```
&SYSTEM
  ibrav = 0, nat = 8, ntyp = 3
/
ATOMIC_SPECIES
Br 79.90 Br.upf
Nb 92.91 Nb.upf
Rb 85.47 Rb.upf
ATOMIC_POSITIONS crystal
Br 0.722 0.722 0.059
Br 0.278 0.278 0.941
Br 0.722 0.069 0.724
Br 0.931 0.278 0.276
Br 0.278 0.931 0.276
Br 0.069 0.722 0.724
Nb 0.000 0.000 0.000
Rb 0.500 0.500 0.500
CELL_PARAMETERS angstrom
4.282 -5.176 0.000
4.282 5.176 0.000
-2.217 0.000 6.446
```



[19]
# B2Pt

A relaxed structure of B2Pt (PBE, OQMD). Values from VASP.

Computed properties:
As for the symmetry: Fd-3m, No. 227. For the calculated total energy, the calculation gives -31.6 eV/cell.

```
&SYSTEM
  ibrav = 0, nat = 6, ntyp = 2
/
ATOMIC_SPECIES
B 10.81 B.upf
Pt 195.08 Pt.upf
ATOMIC_POSITIONS crystal
B 0.125 0.125 0.625
B 0.125 0.625 0.125
B 0.625 0.125 0.125
B 0.125 0.125 0.125
Pt 0.750 0.750 0.750
Pt 0.500 0.500 0.500
CELL_PARAMETERS angstrom
-0.772 2.651 3.335
-1.606 3.958 -0.708
-4.075 0.918 1.138
```



[20]
# HfAlIr

A relaxed structure of HfAlIr (PBE, OQMD). Values from VASP.

Computed properties:
As for the symmetry: F-43m, No. 216. For the calculated total energy, the calculation gives -24.7 eV/cell.

```
&SYSTEM
  ibrav = 0, nat = 3, ntyp = 3
/
ATOMIC_SPECIES
Al 26.98 Al.upf
Hf 178.49 Hf.upf
Ir 192.22 Ir.upf
ATOMIC_POSITIONS crystal
Al 0.250 0.250 0.250
Hf 0.750 0.750 0.750
Ir 0.000 0.000 0.000
CELL_PARAMETERS angstrom
0.000 3.090 3.090
3.090 0.000 3.090
3.090 3.090 0.000
```



[21]
# Ho3InC

A relaxed structure of Ho3InC (PBE, OQMD). Values from VASP.

Computed properties:
As for the symmetry: Pm-3m, No. 221. For the calculated total energy, the calculation gives -28.3 eV/cell.

```
&SYSTEM
  ibrav = 0, nat = 5, ntyp = 3
/
ATOMIC_SPECIES
In 114.82 In.upf
C 12.01 C.upf
Ho 164.93 Ho.upf
ATOMIC_POSITIONS crystal
In 0.500 0.500 0.500
C 0.000 0.000 0.000
Ho 0.000 0.000 0.500
Ho 0.000 0.500 0.000
Ho 0.500 0.000 0.000
CELL_PARAMETERS angstrom
-1.067 4.716 0.730
-3.525 -1.283 3.137
3.217 0.159 3.679
```



[22]
# Pr3NdSe3O4

A relaxed structure of Pr3NdSe3O4 (PBE, OQMD). Values from VASP.

Computed properties:
As for the symmetry: Amm2, No. 38. For the calculated total energy, the calculation gives -79.5 eV/cell.

```
&SYSTEM
  ibrav = 0, nat = 11, ntyp = 4
/
ATOMIC_SPECIES
O 16.00 O.upf
Se 78.96 Se.upf
Pr 140.91 Pr.upf
Nd 144.24 Nd.upf
ATOMIC_POSITIONS crystal
O 0.755 0.088 0.088
O 0.245 0.088 0.088
O 0.000 0.588 0.588
O 0.500 0.615 0.615
Se 0.351 0.357 0.357
Se 0.000 0.313 0.313
Se 0.649 0.357 0.357
Pr 0.763 0.685 0.685
Pr 0.237 0.685 0.685
Pr 0.000 0.000 0.000
Nd 0.500 0.018 0.018
CELL_PARAMETERS angstrom
8.485 0.000 0.000
0.000 2.019 6.509
0.000 -2.019 6.509
```



[23]
# NaHfAg3Te4

A relaxed structure of NaHfAg3Te4 (PBE, OQMD). Values from VASP.

Computed properties:
The calculation puts the energy above the most stable polymorph in this dataset at 0.055 eV/atom. As for the symmetry: P2_1/m, No. 11.

```
&SYSTEM
  ibrav = 0, nat = 18, ntyp = 4
/
ATOMIC_SPECIES
Na 22.99 Na.upf
Te 127.60 Te.upf
Hf 178.49 Hf.upf
Ag 107.87 Ag.upf
ATOMIC_POSITIONS crystal
Na 0.339 0.750 0.451
Na 0.661 0.250 0.549
Te 0.896 0.750 0.544
Te 0.533 0.503 0.255
Te 0.104 0.250 0.456
Te 0.533 0.997 0.255
Te 0.015 0.250 0.974
Te 0.467 0.003 0.745
Te 0.467 0.497 0.745
Te 0.985 0.750 0.026
Hf 0.716 0.750 0.774
Hf 0.284 0.250 0.226
Ag 0.278 0.508 0.994
Ag 0.800 0.250 0.222
Ag 0.200 0.750 0.778
Ag 0.278 0.992 0.994
Ag 0.722 0.008 0.006
Ag 0.722 0.492 0.006
CELL_PARAMETERS angstrom
6.595 0.000 0.000
0.000 8.908 0.000
-1.329 0.000 9.634
```



[24]
# Ta6NbCo6

A relaxed structure of Ta6NbCo6 (PBE, OQMD). Values from VASP.

Computed properties:
As for the symmetry: R-3m, No. 166. The formation energy comes out at -0.2342 eV per atom.

```
&SYSTEM
  ibrav = 0, nat = 13, ntyp = 3
/
ATOMIC_SPECIES
Co 58.93 Co.upf
Ta 180.95 Ta.upf
Nb 92.91 Nb.upf
ATOMIC_POSITIONS crystal
Co 0.581 0.092 0.092
Co 0.908 0.419 0.908
Co 0.419 0.908 0.908
Co 0.908 0.908 0.419
Co 0.092 0.581 0.092
Co 0.092 0.092 0.581
Ta 0.450 0.450 0.450
Ta 0.654 0.654 0.654
Ta 0.834 0.834 0.834
Ta 0.346 0.346 0.346
Ta 0.166 0.166 0.166
Ta 0.550 0.550 0.550
Nb 0.000 0.000 0.000
CELL_PARAMETERS angstrom
-0.885 8.388 3.717
3.355 8.505 1.168
-0.961 9.090 -1.181
```